# Na2MnNb2S6

A relaxed structure of Na2MnNb2S6 (PBE, Alexandria via LeMat-Bulk).

Summary:
- ρ (kg/m³) = 3689
- formation energy from raw total energies (eV/atom) = -0.970
- DOS at the Fermi energy (states/eV/f.u.) = 1.1
- raw total energy (eV/atom) = -6.1261
- SG = No. 12

```
Na2MnNb2S6
1.0
5.993 -0.108 0.066
-3.056 5.157 0.066
-1.023 -1.759 7.008
Na Mn Nb S
2 1 2 6
direct
0.823 0.177 0.000 Na
0.177 0.823 0.000 Na
0.000 0.000 0.500 Mn
0.360 0.640 0.500 Nb
0.640 0.360 0.500 Nb
0.763 0.763 0.726 S
0.053 0.381 0.697 S
0.237 0.237 0.274 S
0.381 0.053 0.697 S
0.947 0.619 0.303 S
0.619 0.947 0.303 S
```